VASP calculation (PBE) on MgCuAs2 after structural relaxation.

Output
For the formation energy, the calculation gives 0.065 eV/atom. As for the size of the total moment: 0.0 μB/cell. The density of states at the Fermi level comes out at 0.52 states/eV per atom. Its space group is P4mm. For the energy, the calculation gives -14.73 eV/cell. For the calculated volume, the calculation gives 72.46 Å³/cell.

POSCAR file:
```
MgCuAs2
1.0
2.926 0.007 0.000
-0.006 2.926 0.000
0.000 0.000 8.462
As Cu Mg
2 1 1
Direct
0.000 0.000 0.963
0.500 0.500 0.311
0.000 0.000 0.500
0.500 0.500 0.725
```